Record 1
NdTc | PBE | relaxed

- ΔE to the lowest computed polymorph: 0.0824 eV per atom

Geometry as CIF:
```
data_NdTc
_space_group_name_H-M_alt 'P 1'
_space_group_IT_number 1
_cell_length_a 4.669
_cell_length_b 4.061
_cell_length_c 5.892
_cell_angle_alpha 90.00
_cell_angle_beta 113.39
_cell_angle_gamma 90.00
loop_
_space_group_symop_operation_xyz
'x,y,z'
loop_
_atom_site_label
_atom_site_type_symbol
_atom_site_fract_x
_atom_site_fract_y
_atom_site_fract_z
_atom_site_occupancy
Nd1 Nd 0.146 0.250 0.292 1
Nd2 Nd 0.854 0.750 0.708 1
Tc1 Tc 0.442 0.250 0.887 1
Tc2 Tc 0.558 0.750 0.113 1
```



Record 2
NdTc2 | PBE | relaxed

- ΔE to the lowest computed polymorph: 0.0000 eV per atom

Geometry as CIF:
```
data_NdTc2
_space_group_name_H-M_alt 'P 1'
_space_group_IT_number 1
_cell_length_a 5.505
_cell_length_b 5.505
_cell_length_c 8.881
_cell_angle_alpha 90.00
_cell_angle_beta 90.00
_cell_angle_gamma 120.00
loop_
_space_group_symop_operation_xyz
'x,y,z'
loop_
_atom_site_label
_atom_site_type_symbol
_atom_site_fract_x
_atom_site_fract_y
_atom_site_fract_z
_atom_site_occupancy
Nd1 Nd 0.333 0.667 0.063 1
Nd2 Nd 0.333 0.667 0.437 1
Nd3 Nd 0.667 0.333 0.563 1
Nd4 Nd 0.667 0.333 0.937 1
Tc1 Tc 0.000 0.000 0.000 1
Tc2 Tc 0.000 0.000 0.500 1
Tc3 Tc 0.170 0.341 0.750 1
Tc4 Tc 0.170 0.830 0.750 1
Tc5 Tc 0.341 0.170 0.250 1
Tc6 Tc 0.659 0.830 0.750 1
Tc7 Tc 0.830 0.170 0.250 1
Tc8 Tc 0.830 0.659 0.250 1
```



Record 3
NdTc2 | PBE | relaxed

- ΔE to the lowest computed polymorph: 0.0379 eV per atom

Geometry as CIF:
```
data_NdTc2
_space_group_name_H-M_alt 'P 1'
_space_group_IT_number 1
_cell_length_a 5.493
_cell_length_b 5.493
_cell_length_c 5.493
_cell_angle_alpha 60.00
_cell_angle_beta 60.00
_cell_angle_gamma 60.00
loop_
_space_group_symop_operation_xyz
'x,y,z'
loop_
_atom_site_label
_atom_site_type_symbol
_atom_site_fract_x
_atom_site_fract_y
_atom_site_fract_z
_atom_site_occupancy
Nd1 Nd 0.125 0.125 0.125 1
Nd2 Nd 0.875 0.875 0.875 1
Tc1 Tc 0.000 0.500 0.500 1
Tc2 Tc 0.500 0.000 0.500 1
Tc3 Tc 0.500 0.500 0.000 1
Tc4 Tc 0.500 0.500 0.500 1
```



Record 4
NdTc2 | PBE | relaxed

- ΔE to the lowest computed polymorph: 0.1460 eV per atom

Geometry as CIF:
```
data_NdTc2
_space_group_name_H-M_alt 'P 1'
_space_group_IT_number 1
_cell_length_a 3.154
_cell_length_b 3.154
_cell_length_c 11.974
_cell_angle_alpha 90.00
_cell_angle_beta 90.00
_cell_angle_gamma 90.00
loop_
_space_group_symop_operation_xyz
'x,y,z'
loop_
_atom_site_label
_atom_site_type_symbol
_atom_site_fract_x
_atom_site_fract_y
_atom_site_fract_z
_atom_site_occupancy
Nd1 Nd 0.000 0.000 0.000 1
Nd2 Nd 0.500 0.500 0.500 1
Tc1 Tc 0.000 0.000 0.302 1
Tc2 Tc 0.000 0.000 0.698 1
Tc3 Tc 0.500 0.500 0.198 1
Tc4 Tc 0.500 0.500 0.802 1
```



Record 5
NdTc | PBE | relaxed

- ΔE to the lowest computed polymorph: 0.0000 eV per atom

Geometry as CIF:
```
data_NdTc
_space_group_name_H-M_alt 'P 1'
_space_group_IT_number 1
_cell_length_a 4.193
_cell_length_b 4.193
_cell_length_c 20.846
_cell_angle_alpha 90.00
_cell_angle_beta 90.00
_cell_angle_gamma 120.00
loop_
_space_group_symop_operation_xyz
'x,y,z'
loop_
_atom_site_label
_atom_site_type_symbol
_atom_site_fract_x
_atom_site_fract_y
_atom_site_fract_z
_atom_site_occupancy
Nd1 Nd 0.000 0.000 0.097 1
Nd2 Nd 0.000 0.000 0.903 1
Nd3 Nd 0.333 0.667 0.569 1
Nd4 Nd 0.333 0.667 0.764 1
Nd5 Nd 0.667 0.333 0.236 1
Nd6 Nd 0.667 0.333 0.431 1
Tc1 Tc 0.000 0.000 0.320 1
Tc2 Tc 0.000 0.000 0.680 1
Tc3 Tc 0.333 0.667 0.347 1
Tc4 Tc 0.333 0.667 0.987 1
Tc5 Tc 0.667 0.333 0.013 1
Tc6 Tc 0.667 0.333 0.653 1
```



Record 6
Nd4TcTe | PBE | relaxed

- ΔE_f (raw): -0.443 eV/atom

Geometry as CIF:
```
data_Nd4TcTe
_space_group_name_H-M_alt 'P 1'
_space_group_IT_number 1
_cell_length_a 8.020
_cell_length_b 8.020
_cell_length_c 6.539
_cell_angle_alpha 99.25
_cell_angle_beta 99.25
_cell_angle_gamma 113.61
loop_
_space_group_symop_operation_xyz
'x,y,z'
loop_
_atom_site_label
_atom_site_type_symbol
_atom_site_fract_x
_atom_site_fract_y
_atom_site_fract_z
_atom_site_occupancy
Nd1 Nd 0.065 0.723 0.950 1
Nd2 Nd 0.208 0.358 0.596 1
Nd3 Nd 0.277 0.935 0.550 1
Nd4 Nd 0.358 0.208 0.096 1
Nd5 Nd 0.642 0.792 0.904 1
Nd6 Nd 0.723 0.065 0.450 1
Nd7 Nd 0.792 0.642 0.404 1
Nd8 Nd 0.935 0.277 0.050 1
Tc1 Tc 0.001 0.999 0.250 1
Tc2 Tc 0.999 0.001 0.750 1
Te1 Te 0.378 0.622 0.250 1
Te2 Te 0.622 0.378 0.750 1
```



Record 7
NdTcTe | PBE | relaxed

- ΔE_f (raw): -0.438 eV/atom

Geometry as CIF:
```
data_NdTcTe
_space_group_name_H-M_alt 'P 1'
_space_group_IT_number 1
_cell_length_a 11.012
_cell_length_b 4.526
_cell_length_c 6.620
_cell_angle_alpha 90.00
_cell_angle_beta 101.55
_cell_angle_gamma 90.00
loop_
_space_group_symop_operation_xyz
'x,y,z'
loop_
_atom_site_label
_atom_site_type_symbol
_atom_site_fract_x
_atom_site_fract_y
_atom_site_fract_z
_atom_site_occupancy
Nd1 Nd 0.113 0.000 0.256 1
Nd2 Nd 0.387 0.500 0.744 1
Nd3 Nd 0.613 0.500 0.256 1
Nd4 Nd 0.887 0.000 0.744 1
Tc1 Tc 0.093 0.500 0.945 1
Tc2 Tc 0.407 0.000 0.055 1
Tc3 Tc 0.593 0.000 0.945 1
Tc4 Tc 0.907 0.500 0.055 1
Te1 Te 0.179 0.000 0.758 1
Te2 Te 0.321 0.500 0.242 1
Te3 Te 0.679 0.500 0.758 1
Te4 Te 0.821 0.000 0.242 1
```



Record 8
NdTh2Tc | PBE | relaxed

- ΔE to the lowest computed polymorph: 0.0000 eV per atom

Geometry as CIF:
```
data_NdTh2Tc
_space_group_name_H-M_alt 'P 1'
_space_group_IT_number 1
_cell_length_a 7.341
_cell_length_b 9.724
_cell_length_c 6.479
_cell_angle_alpha 90.00
_cell_angle_beta 90.00
_cell_angle_gamma 90.00
loop_
_space_group_symop_operation_xyz
'x,y,z'
loop_
_atom_site_label
_atom_site_type_symbol
_atom_site_fract_x
_atom_site_fract_y
_atom_site_fract_z
_atom_site_occupancy
Nd1 Nd 0.040 0.250 0.140 1
Nd2 Nd 0.460 0.750 0.640 1
Nd3 Nd 0.540 0.250 0.360 1
Nd4 Nd 0.960 0.750 0.860 1
Th1 Th 0.170 0.063 0.668 1
Th2 Th 0.170 0.437 0.668 1
Th3 Th 0.330 0.563 0.168 1
Th4 Th 0.330 0.937 0.168 1
Th5 Th 0.670 0.063 0.832 1
Th6 Th 0.670 0.437 0.832 1
Th7 Th 0.830 0.563 0.332 1
Th8 Th 0.830 0.937 0.332 1
Tc1 Tc 0.110 0.750 0.398 1
Tc2 Tc 0.390 0.250 0.898 1
Tc3 Tc 0.610 0.750 0.102 1
Tc4 Tc 0.890 0.250 0.602 1
```



Record 9
NdTh2Tc | PBE | relaxed

- ΔE to the lowest computed polymorph: 0.3687 eV per atom

Geometry as CIF:
```
data_NdTh2Tc
_space_group_name_H-M_alt 'P 1'
_space_group_IT_number 1
_cell_length_a 3.873
_cell_length_b 3.873
_cell_length_c 30.867
_cell_angle_alpha 90.00
_cell_angle_beta 90.00
_cell_angle_gamma 120.00
loop_
_space_group_symop_operation_xyz
'x,y,z'
loop_
_atom_site_label
_atom_site_type_symbol
_atom_site_fract_x
_atom_site_fract_y
_atom_site_fract_z
_atom_site_occupancy
Nd1 Nd 0.000 0.000 0.000 1
Nd2 Nd 0.333 0.667 0.667 1
Nd3 Nd 0.667 0.333 0.333 1
Th1 Th 0.000 0.000 0.113 1
Th2 Th 0.000 0.000 0.887 1
Th3 Th 0.333 0.667 0.554 1
Th4 Th 0.333 0.667 0.780 1
Th5 Th 0.667 0.333 0.220 1
Th6 Th 0.667 0.333 0.446 1
Tc1 Tc 0.000 0.000 0.500 1
Tc2 Tc 0.333 0.667 0.167 1
Tc3 Tc 0.667 0.333 0.833 1
```



Record 10
NdTh3Tc | PBE | relaxed

- E: -7.38 eV per atom

Geometry as CIF:
```
data_NdTh3Tc
_space_group_name_H-M_alt 'P 1'
_space_group_IT_number 1
_cell_length_a 5.508
_cell_length_b 5.508
_cell_length_c 5.508
_cell_angle_alpha 90.00
_cell_angle_beta 90.00
_cell_angle_gamma 90.00
loop_
_space_group_symop_operation_xyz
'x,y,z'
loop_
_atom_site_label
_atom_site_type_symbol
_atom_site_fract_x
_atom_site_fract_y
_atom_site_fract_z
_atom_site_occupancy
Nd1 Nd 0.000 0.000 0.000 1
Th1 Th 0.000 0.500 0.500 1
Th2 Th 0.500 0.000 0.500 1
Th3 Th 0.500 0.500 0.000 1
Tc1 Tc 0.500 0.500 0.500 1
```



Record 11
NdThTc4 | PBE | relaxed

- E: -8.94 eV per atom

Geometry as CIF:
```
data_NdThTc4
_space_group_name_H-M_alt 'P 1'
_space_group_IT_number 1
_cell_length_a 5.497
_cell_length_b 5.497
_cell_length_c 5.497
_cell_angle_alpha 60.00
_cell_angle_beta 60.00
_cell_angle_gamma 60.00
loop_
_space_group_symop_operation_xyz
'x,y,z'
loop_
_atom_site_label
_atom_site_type_symbol
_atom_site_fract_x
_atom_site_fract_y
_atom_site_fract_z
_atom_site_occupancy
Nd1 Nd 0.000 0.000 0.000 1
Th1 Th 0.750 0.750 0.750 1
Tc1 Tc 0.375 0.375 0.375 1
Tc2 Tc 0.375 0.375 0.875 1
Tc3 Tc 0.375 0.875 0.375 1
Tc4 Tc 0.875 0.375 0.375 1
```



Record 12
NdTh2Tc | PBE | relaxed

- ΔE to the lowest computed polymorph: 0.1208 eV per atom

Geometry as CIF:
```
data_NdTh2Tc
_space_group_name_H-M_alt 'P 1'
_space_group_IT_number 1
_cell_length_a 3.564
_cell_length_b 3.564
_cell_length_c 8.838
_cell_angle_alpha 90.00
_cell_angle_beta 90.00
_cell_angle_gamma 90.00
loop_
_space_group_symop_operation_xyz
'x,y,z'
loop_
_atom_site_label
_atom_site_type_symbol
_atom_site_fract_x
_atom_site_fract_y
_atom_site_fract_z
_atom_site_occupancy
Nd1 Nd 0.000 0.000 0.000 1
Th1 Th 0.500 0.500 0.301 1
Th2 Th 0.500 0.500 0.699 1
Tc1 Tc 0.000 0.000 0.500 1
```